--- w ---
DFT (PBE) results for a geometry-optimized BaScCd structure.

Unit cell a=5.0377 b=5.0377 c=8.1477 alpha=90.00 beta=90.00 gamma=90.00
Closest atoms and distances in Å follow each position.
Fractional positions:
Ba 0.0000 0.5000 0.8538  5 Cd 3.63-3.77, 4 Sc 3.83
Ba 0.5000 0.0000 0.1462  5 Cd 3.63-3.77, 4 Sc 3.83
Cd 0.0000 0.5000 0.2995  4 Sc 3.00
Cd 0.5000 0.0000 0.7005  4 Sc 3.00
Sc 0.5000 0.5000 0.5000  4 Cd 3.00
Sc 0.0000 0.0000 0.5000  4 Cd 3.00

Output
* Fermi-level density of states: 1.450 states/eV per atom

=====

--- x ---
DFT (PBE) results for a geometry-optimized BaScCd structure.

Unit cell a=5.4372 b=5.4372 c=5.4372 alpha=60.00 beta=60.00 gamma=60.00
Closest atoms and distances in Å follow each position.
Fractional positions:
Ba 0.7500 0.7500 0.7500  4 Sc 3.33, 4 Cd 3.33
Cd 0.0000 0.0000 0.0000  4 Ba 3.33
Sc 0.5000 0.5000 0.5000  4 Ba 3.33

Output
* Fermi-level density of states: 1.371 states/eV per atom

=====

Most stable structure, least stable structure: w, x.

=====

--- w ---
DFT (PBE) results for a geometry-optimized BaScCd structure.

Unit cell a=7.2179 b=7.2183 c=3.8513 alpha=74.52 beta=74.53 gamma=30.95
Closest atoms and distances in Å follow each position.
Fractional positions:
Ba 0.9912 0.9912 0.0088  5 Cd 3.72-4.15, 5 Sc 3.79-3.97, 4 Ba 3.85
Cd 0.3014 0.3014 0.6986  4 Sc 3.00
Sc 0.7074 0.7074 0.2926  4 Cd 3.00

Output
* Fermi-level density of states: 0.959 states/eV per atom

=====

--- x ---
DFT (PBE) results for a geometry-optimized BaScCd structure.

Unit cell a=3.7202 b=3.7202 c=8.2436 alpha=90.00 beta=90.00 gamma=120.00
Closest atoms and distances in Å follow each position.
Fractional positions:
Ba 0.0000 0.0000 0.0124  3 Cd 3.61, 6 Ba 3.72, 3 Sc 3.86
Cd 0.6667 0.3333 0.3638  3 Sc 3.03
Sc 0.3333 0.6667 0.6238  3 Cd 3.03

Output
* Fermi-level density of states: 0.890 states/eV per atom

=====

Most stable structure, least stable structure: w, x.

=====

--- w ---
DFT (PBE) results for a geometry-optimized BaScCd structure.

Unit cell a=5.4410 b=5.4410 c=5.4410 alpha=60.00 beta=60.00 gamma=60.00
Closest atoms and distances in Å follow each position.
Fractional positions:
Ba 0.5000 0.5000 0.5000  4 Cd 3.33
Cd 0.7500 0.7500 0.7500  4 Ba 3.33, 4 Sc 3.33
Sc 0.0000 0.0000 0.0000  4 Cd 3.33

Output
* Fermi-level density of states: 1.708 states/eV per atom

=====

--- x ---
DFT (PBE) results for a geometry-optimized BaScCd structure.

Unit cell a=5.3417 b=5.3417 c=4.1170 alpha=90.00 beta=90.00 gamma=120.00
Closest atoms and distances in Å follow each position.
Fractional positions:
Ba 0.0000 0.0000 0.0000  6 Cd 3.71, 6 Sc 3.71, 2 Ba 4.12
Cd 0.6667 0.3333 0.4999  3 Sc 3.08
Sc 0.3333 0.6667 0.5001  3 Cd 3.08

Output
* Fermi-level density of states: 1.220 states/eV per atom

=====

Most stable structure, least stable structure: x, w.

=====

--- w ---
DFT (PBE) results for a geometry-optimized Ba2CdSe structure.

Unit cell a=4.6690 b=4.6690 c=9.2214 alpha=75.36 beta=75.36 gamma=60.03
Closest atoms and distances in Å follow each position.
Fractional positions:
Ba 0.9890 0.9890 0.0327  3 Se 3.31, 3 Cd 3.67
Ba 0.5110 0.5110 0.4673  3 Se 3.31, 3 Cd 3.67
Cd 0.7500 0.7500 0.7500  6 Ba 3.67
Se 0.2500 0.2500 0.2500  6 Ba 3.31

Output
* Fermi-level density of states: 0.840 states/eV per atom

=====

--- x ---
DFT (PBE) results for a geometry-optimized Ba2CdSe structure.

Unit cell a=5.8631 b=5.8631 c=5.8631 alpha=60.00 beta=60.00 gamma=60.00
Closest atoms and distances in Å follow each position.
Fractional positions:
Ba 0.2500 0.2500 0.2500  4 Cd 3.59, 4 Se 3.59
Ba 0.7500 0.7500 0.7500  4 Cd 3.59, 4 Se 3.59
Se 0.0000 0.0000 0.0000  8 Ba 3.59
Cd 0.5000 0.5000 0.5000  8 Ba 3.59

Output
* Fermi-level density of states: 1.330 states/eV per atom

=====

Most stable structure, least stable structure: w, x.

=====

--- w ---
DFT (PBE) results for a geometry-optimized Ba2CdSe structure.

Unit cell a=5.7977 b=5.7977 c=5.7977 alpha=60.00 beta=60.00 gamma=60.00
Closest atoms and distances in Å follow each position.
Fractional positions:
Ba 0.0000 0.0000 0.0000  4 Ba 3.55, 4 Se 3.55
Ba 0.2500 0.2500 0.2500  4 Cd 3.55, 4 Ba 3.55
Cd 0.5000 0.5000 0.5000  4 Se 3.55, 4 Ba 3.55
Se 0.7500 0.7500 0.7500  4 Cd 3.55, 4 Ba 3.55

Output
* Fermi-level density of states: 1.430 states/eV per atom

=====

--- x ---
DFT (PBE) results for a geometry-optimized Ba2CdSe structure.

Unit cell a=7.3173 b=7.3173 c=7.3173 alpha=141.56 beta=141.56 gamma=55.49
Closest atoms and distances in Å follow each position.
Fractional positions:
Ba 0.0000 0.0000 0.0000  4 Cd 3.41
Ba 0.2500 0.7500 0.5000  4 Se 3.41
Cd 0.5000 0.5000 0.0000  4 Ba 3.41
Se 0.7500 0.2500 0.5000  4 Ba 3.41

Output
* Fermi-level density of states: 0.544 states/eV per atom

=====

Most stable structure, least stable structure: x, w.

=====

--- w ---
DFT (PBE) results for a geometry-optimized Ba2CdSe structure.

Unit cell a=9.2476 b=9.2476 c=9.2476 alpha=153.50 beta=152.07 gamma=38.88
Closest atoms and distances in Å follow each position.
Fractional positions:
Ba 0.0591 0.0591 0.0000  2 Se 3.36, 4 Cd 3.60
Ba 0.7799 0.2799 0.5000  4 Se 3.32
Cd 0.4523 0.4523 0.0000  6 Ba 3.60-3.75
Se 0.2088 0.7088 0.5000  6 Ba 3.32-3.36

Output
* Fermi-level density of states: 0.759 states/eV per atom

=====

--- x ---
DFT (PBE) results for a geometry-optimized Ba2CdSe structure.

Unit cell a=8.8865 b=8.8865 c=7.7521 alpha=55.03 beta=55.03 gamma=90.00
Closest atoms and distances in Å follow each position.
Fractional positions:
Ba 0.5918 0.1250 0.2500  2 Se 3.15
Ba 0.1582 0.6250 0.2500  2 Se 3.15
Ba 0.3750 0.4082 0.7500  2 Se 3.15
Ba 0.8750 0.8418 0.7500  2 Se 3.15
Se 0.5000 0.5000 0.0000  4 Ba 3.15
Se 0.2500 0.7500 0.5000  4 Ba 3.15
Cd 0.0000 0.0000 0.0000  4 Ba 3.54
Cd 0.7500 0.2500 0.5000  4 Ba 3.54

Output
* Fermi-level density of states: 0.484 states/eV per atom

=====

--- y ---
DFT (PBE) results for a geometry-optimized Ba2CdSe structure.

Unit cell a=6.7617 b=6.7617 c=5.3293 alpha=85.40 beta=85.40 gamma=38.55
Closest atoms and distances in Å follow each position.
Fractional positions:
Ba 0.0061 0.0061 0.1311  3 Se 3.38-3.75, 4 Cd 3.49-3.51
Ba 0.7485 0.7485 0.6237  4 Se 3.43-3.55, 3 Cd 3.50-3.65
Cd 0.4738 0.4738 0.6402  1 Se 3.42, 7 Ba 3.49-3.65
Se 0.2716 0.2716 0.1050  7 Ba 3.38-3.75, 1 Cd 3.42

Output
* Fermi-level density of states: 0.789 states/eV per atom

=====

Most stable structure, least stable structure: w, x.

=====

--- w ---
DFT (PBE) results for a geometry-optimized Ba2CdSe structure.

Unit cell a=4.8808 b=4.8808 c=6.8928 alpha=90.00 beta=90.00 gamma=89.99
Closest atoms and distances in Å follow each position.
Fractional positions:
Ba 0.0000 0.0000 0.8749  2 Cd 3.45, 4 Se 3.45
Ba 0.5000 0.5000 0.3751  2 Se 3.45, 4 Cd 3.45
Cd 0.0000 0.0000 0.3748  6 Ba 3.45
Se 0.5000 0.5000 0.8752  6 Ba 3.45

Output
* Fermi-level density of states: 1.129 states/eV per atom

=====

--- x ---
DFT (PBE) results for a geometry-optimized Ba2CdSe structure.

Unit cell a=4.1526 b=4.1689 c=9.1874 alpha=63.15 beta=90.00 gamma=90.00
Closest atoms and distances in Å follow each position.
Fractional positions:
Ba 0.0000 0.0183 0.9811  4 Se 3.50, 4 Cd 3.67-3.68, 1 Ba 3.79
Ba 0.0000 0.4817 0.5189  4 Se 3.50, 4 Cd 3.67-3.68, 1 Ba 3.79
Cd 0.5000 0.2500 0.2500  8 Ba 3.67-3.68, 2 Se 4.10
Se 0.5000 0.7500 0.7500  8 Ba 3.50

Output
* Fermi-level density of states: 0.581 states/eV per atom

=====

Most stable structure, least stable structure: x, w.

=====

--- w ---
DFT (PBE) results for a geometry-optimized Ba2Cd2Se structure.

Unit cell a=6.6783 b=6.6783 c=6.3840 alpha=58.46 beta=58.46 gamma=90.00
Closest atoms and distances in Å follow each position.
Fractional positions:
Ba 0.7500 0.2500 0.5000  4 Cd 3.43
Ba 0.2500 0.7500 0.5000  4 Cd 3.43
Se 0.0000 0.0000 0.0000  2 Cd 2.93
Cd 0.3410 0.3410 0.3181  1 Cd 2.73, 1 Se 2.93
Cd 0.6590 0.6590 0.6819  1 Cd 2.73, 1 Se 2.93

Output
* Fermi-level density of states: 1.423 states/eV per atom

=====

--- x ---
DFT (PBE) results for a geometry-optimized Ba2Cd2Se structure.

Unit cell a=8.7020 b=8.7020 c=4.7506 alpha=90.00 beta=90.00 gamma=90.00
Closest atoms and distances in Å follow each position.
Fractional positions:
Ba 0.1830 0.6830 0.5000  6 Cd 3.40-3.58
Ba 0.6830 0.8170 0.5000  6 Cd 3.40-3.58
Ba 0.8170 0.3170 0.5000  6 Cd 3.40-3.58
Ba 0.3170 0.1830 0.5000  6 Cd 3.40-3.58
Se 0.0000 0.0000 0.0000  4 Cd 3.47
Se 0.5000 0.5000 0.0000  4 Cd 3.47
Cd 0.3813 0.8813 0.0000  1 Cd 2.92
Cd 0.8813 0.6187 0.0000  1 Cd 2.92
Cd 0.6187 0.1187 0.0000  1 Cd 2.92
Cd 0.1187 0.3813 0.0000  1 Cd 2.92

Output
* Fermi-level density of states: 0.588 states/eV per atom

=====

Most stable structure, least stable structure: x, w.

=====

--- w ---
DFT (PBE) results for a geometry-optimized Ba2CdSe2 structure.

Unit cell a=8.9666 b=8.9666 c=4.2051 alpha=90.00 beta=90.00 gamma=90.00
Closest atoms and distances in Å follow each position.
Fractional positions:
Ba 0.1535 0.6535 0.5000  6 Se 3.26-3.44
Ba 0.6535 0.8465 0.5000  6 Se 3.26-3.44
Ba 0.8465 0.3465 0.5000  6 Se 3.26-3.44
Ba 0.3465 0.1535 0.5000  6 Se 3.26-3.44
Se 0.3503 0.8503 0.0000  6 Ba 3.26-3.44, 2 Cd 3.42
Se 0.8503 0.6497 0.0000  6 Ba 3.26-3.44, 2 Cd 3.42
Se 0.6497 0.1497 0.0000  6 Ba 3.26-3.44, 2 Cd 3.42
Se 0.1497 0.3503 0.0000  6 Ba 3.26-3.44, 2 Cd 3.42
Cd 0.0000 0.0000 0.0000  4 Se 3.42
Cd 0.5000 0.5000 0.0000  4 Se 3.42

Output
* Fermi-level density of states: 0.117 states/eV per atom

=====

--- x ---
DFT (PBE) results for a geometry-optimized Ba2CdSe2 structure.

Unit cell a=6.2225 b=6.2225 c=7.6805 alpha=66.10 beta=66.10 gamma=90.00
Closest atoms and distances in Å follow each position.
Fractional positions:
Ba 0.7500 0.2500 0.5000  4 Se 3.21
Ba 0.2500 0.7500 0.5000  4 Se 3.21
Se 0.3121 0.3121 0.3759  4 Ba 3.21
Se 0.6879 0.6879 0.6241  4 Ba 3.21
Cd 0.0000 0.0000 0.0000  2 Se 3.93

Output
* Fermi-level density of states: 0.000 states/eV per atom

=====

Most stable structure, least stable structure: w, x.

=====

--- w ---
DFT (PBE) results for a geometry-optimized BaCdSi3 structure.

Unit cell a=5.7009 b=5.7009 c=5.7009 alpha=90.00 beta=90.00 gamma=90.00
Closest atoms and distances in Å follow each position.
Fractional positions:
Si 0.0000 0.5000 0.0000  2 Ba 2.85
Si 0.0000 0.0000 0.5000  2 Ba 2.85
Si 0.5000 0.0000 0.0000  2 Ba 2.85
Ba 0.0000 0.0000 0.0000  6 Si 2.85
Cd 0.5000 0.5000 0.5000  12 Si 4.03

Output
* Fermi-level density of states: 1.734 states/eV per atom

=====

--- x ---
DFT (PBE) results for a geometry-optimized BaCdSi3 structure.

Unit cell a=5.1837 b=5.1837 c=5.1837 alpha=90.00 beta=90.00 gamma=90.00
Closest atoms and distances in Å follow each position.
Fractional positions:
Si 0.0000 0.5000 0.0000  2 Cd 2.59
Si 0.0000 0.0000 0.5000  2 Cd 2.59
Si 0.5000 0.0000 0.0000  2 Cd 2.59
Ba 0.5000 0.5000 0.5000  12 Si 3.67
Cd 0.0000 0.0000 0.0000  6 Si 2.59

Output
* Fermi-level density of states: 0.727 states/eV per atom

=====

Most stable structure, least stable structure: x, w.

=====

--- w ---
DFT (PBE) results for a geometry-optimized Ba2CdSi2 structure.

Unit cell a=8.4856 b=8.4856 c=4.5665 alpha=90.00 beta=90.00 gamma=90.00
Closest atoms and distances in Å follow each position.
Fractional positions:
Si 0.4054 0.9054 0.0000  1 Si 2.27
Si 0.9054 0.5946 0.0000  1 Si 2.27
Si 0.5946 0.0946 0.0000  1 Si 2.27
Si 0.0946 0.4054 0.0000  1 Si 2.27
Ba 0.1931 0.6931 0.5000  6 Si 3.42-3.45
Ba 0.6931 0.8069 0.5000  6 Si 3.42-3.45
Ba 0.8069 0.3069 0.5000  6 Si 3.42-3.45
Ba 0.3069 0.1931 0.5000  6 Si 3.42-3.45
Cd 0.0000 0.0000 0.0000  4 Si 3.53, 8 Ba 3.83
Cd 0.5000 0.5000 0.0000  4 Si 3.53, 8 Ba 3.83

Output
* Fermi-level density of states: 0.821 states/eV per atom

=====

--- x ---
DFT (PBE) results for a geometry-optimized Ba2CdSi2 structure.

Unit cell a=6.3577 b=6.3577 c=6.3123 alpha=59.76 beta=59.76 gamma=90.00
Closest atoms and distances in Å follow each position.
Fractional positions:
Si 0.3730 0.3730 0.2540  1 Si 2.25
Si 0.6270 0.6270 0.7460  1 Si 2.25
Ba 0.7500 0.2500 0.5000  4 Si 3.36
Ba 0.2500 0.7500 0.5000  4 Si 3.36
Cd 0.0000 0.0000 0.0000  2 Si 3.31

Output
* Fermi-level density of states: 1.053 states/eV per atom

=====

Most stable structure, least stable structure: w, x.

=====

--- w ---
DFT (PBE) results for a geometry-optimized BaSm2Cd structure.

Unit cell a=3.6956 b=3.6956 c=12.5198 alpha=81.51 beta=81.51 gamma=60.00
Closest atoms and distances in Å follow each position.
Fractional positions:
Ba 0.0000 0.0000 0.0000  6 Ba 3.70, 2 Sm 3.71
Sm 0.1001 0.1001 0.6996  3 Cd 3.26
Sm 0.8999 0.8999 0.3004  3 Cd 3.26
Cd 0.5000 0.5000 0.5000  6 Sm 3.26

Output
* Fermi-level density of states: 1.474 states/eV per atom

=====

--- x ---
DFT (PBE) results for a geometry-optimized BaSm2Cd structure.

Unit cell a=3.8836 b=3.8836 c=9.6527 alpha=90.00 beta=90.00 gamma=90.00
Closest atoms and distances in Å follow each position.
Fractional positions:
Ba 0.5000 0.5000 0.5000  4 Ba 3.88, 8 Sm 4.09
Sm 0.0000 0.0000 0.8144  4 Cd 3.28, 1 Sm 3.58
Sm 0.0000 0.0000 0.1856  4 Cd 3.28, 1 Sm 3.58
Cd 0.5000 0.5000 0.0000  8 Sm 3.28

Output
* Fermi-level density of states: 1.289 states/eV per atom

=====

Most stable structure, least stable structure: x, w.